Material: Li4Ho2Cl9
Method: DFT, GGA-PBE
State: relaxed

- theoretical density (g/cm3) = 3.3
- magnetic moment (μB per atom) = 0.067
- VASP energy (eV per atom) = -4.15
- E_form (uncorrected) (meV/atom) = -1924
- symmetry = C2/c, No. 15

Lattice parameters (Å, degrees): 6.6258 6.6258 17.8039 90.00 90.00 59.99
Positions (direct):
1 Li 0.1663 0.1670 0.6682
2 Li 0.1663 0.1668 0.9831
3 Li 0.1670 0.1663 0.1682
4 Li 0.1668 0.1663 0.4831
5 Li 0.8332 0.8337 0.5169
6 Li 0.8330 0.8337 0.8318
7 Li 0.8337 0.8332 0.0169
8 Li 0.8337 0.8330 0.3318
9 Ho 0.5002 0.4997 0.1569
10 Ho 0.5003 0.4998 0.3431
11 Ho 0.4997 0.5002 0.6569
12 Ho 0.4998 0.5003 0.8431
13 Cl 0.1406 0.5213 0.9165
14 Cl 0.1411 0.8378 0.4165
15 Cl 0.1617 0.4791 0.5835
16 Cl 0.1622 0.8589 0.0835
17 Cl 0.1710 0.8290 0.7500
18 Cl 0.1717 0.4995 0.2500
19 Cl 0.4791 0.1617 0.0835
20 Cl 0.4787 0.8594 0.5835
21 Cl 0.4995 0.1717 0.7500
22 Cl 0.5005 0.8283 0.2500
23 Cl 0.5213 0.1406 0.4165
24 Cl 0.5209 0.8383 0.9165
25 Cl 0.8283 0.5005 0.7500
26 Cl 0.8290 0.1710 0.2500
27 Cl 0.8378 0.1411 0.9165
28 Cl 0.8383 0.5209 0.4165
29 Cl 0.8589 0.1622 0.5835
30 Cl 0.8594 0.4787 0.0835